1.
Density functional theory data (PBE) for crystalline Sc3MnTl3Te8 at its relaxed geometry.

Cell lengths 8.319, 8.322, 9.522 Å; angles 115.97, 90.00, 119.99 degrees
Element x y z (fractional)
Sc: 0.500 0.000 0.500
Sc: 0.500 0.500 0.500
Sc: 0.000 0.500 0.500
Mn: 0.000 0.000 0.500
Tl: 0.000 0.000 0.000
Tl: 0.000 0.500 0.000
Tl: 0.500 0.500 0.000
Te: 0.265 0.530 0.295
Te: 0.735 0.470 0.705
Te: 0.775 0.550 0.305
Te: 0.225 0.450 0.695
Te: 0.775 0.030 0.305
Te: 0.225 0.970 0.695
Te: 0.255 0.030 0.305
Te: 0.745 0.970 0.695

Output
Size of the total moment, μB per formula unit: 3.40
Calculated density, g/cm3: 6.15
V, A^3/atom: 32.84
ΔE_f (raw), kJ/mol of formula units: -1076

***

2.
Density functional theory data (PBE) for crystalline ScMnTl2Te4 at its relaxed geometry.

Cell lengths 7.182, 7.025, 7.025 Å; angles 74.85, 59.26, 59.26 degrees
Element x y z (fractional)
Sc: 0.000 0.000 0.000
Mn: 0.500 0.000 0.000
Tl: 0.000 0.500 0.500
Tl: 0.500 0.500 0.500
Te: 0.096 0.341 0.000
Te: 0.904 0.000 0.659
Te: 0.562 0.000 0.341
Te: 0.438 0.659 0.000

Output
Size of the total moment, μB per formula unit: 4.00
Calculated density, g/cm3: 6.46
V, A^3/atom: 32.73
ΔE_f (raw), kJ/mol of formula units: -343

***

3.
Density functional theory data (PBE) for crystalline Sc2MnVTe at its relaxed geometry.

Cell lengths 4.736, 4.782, 4.736 Å; angles 90.00, 90.00, 90.00 degrees
Element x y z (fractional)
Sc: 0.000 0.000 0.500
Sc: 0.500 0.000 0.000
Te: 0.000 0.500 0.000
Mn: 0.000 0.000 0.000
V: 0.500 0.500 0.500

Output
Size of the total moment, μB per formula unit: 0.50
Calculated density, g/cm3: 5.01
V, A^3/atom: 21.45
ΔE_f (raw), kJ/mol of formula units: 295

***

4.
Density functional theory data (PBE) for crystalline ThScMn4 at its relaxed geometry.

Cell lengths 5.126, 5.126, 5.126 Å; angles 60.00, 60.00, 60.00 degrees
Element x y z (fractional)
Sc: 0.000 0.000 0.000
Mn: 0.626 0.626 0.122
Mn: 0.626 0.122 0.626
Mn: 0.626 0.626 0.626
Mn: 0.122 0.626 0.626
Th: 0.250 0.250 0.250

Output
Size of the total moment, μB per formula unit: 7.14
Calculated density, g/cm3: 8.66
V, A^3/atom: 15.87
ΔH_f (0 K), eV per atom: 0.01

***

5.
Density functional theory data (PBE) for crystalline ThScMn at its relaxed geometry.

Cell lengths 3.297, 3.297, 6.551 Å; angles 104.58, 104.58, 90.00 degrees
Element x y z (fractional)
Sc: 0.296 0.296 0.592
Mn: 0.671 0.671 0.341
Th: 0.033 0.033 0.067

Output
Size of the total moment, μB per formula unit: 0.00
Calculated density, g/cm3: 8.28
V, A^3/atom: 22.19
Offset from the most stable computed form, kJ/mol of formula units: 31.4
ΔH_f (0 K), eV per atom: 0.15

***

6.
Density functional theory data (PBE) for crystalline ThScMn17 at its relaxed geometry.

Cell lengths 6.305, 6.305, 6.305 Å; angles 86.25, 86.25, 86.25 degrees
Element x y z (fractional)
Th: 0.357 0.357 0.357
Sc: 0.649 0.649 0.649
Mn: 0.274 0.997 0.726
Mn: 0.726 0.274 0.997
Mn: 0.997 0.726 0.274
Mn: 0.274 0.726 0.997
Mn: 0.997 0.274 0.726
Mn: 0.726 0.997 0.274
Mn: 0.361 0.874 0.361
Mn: 0.361 0.361 0.874
Mn: 0.874 0.361 0.361
Mn: 0.645 0.122 0.645
Mn: 0.645 0.645 0.122
Mn: 0.122 0.645 0.645
Mn: 0.997 0.500 0.997
Mn: 0.997 0.997 0.500
Mn: 0.500 0.997 0.997
Mn: 0.899 0.899 0.899
Mn: 0.099 0.099 0.099

Output
Size of the total moment, μB per formula unit: 5.07
Calculated density, g/cm3: 8.07
V, A^3/atom: 13.11
ΔH_f (0 K), eV per atom: 0.00

***

7.
Density functional theory data (PBE) for crystalline ThScMn at its relaxed geometry.

Cell lengths 6.498, 6.717, 6.978 Å; angles 90.00, 90.00, 118.93 degrees
Element x y z (fractional)
Mn: 0.611 0.221 0.546
Mn: 0.889 0.779 0.046
Mn: 0.389 0.779 0.454
Mn: 0.111 0.221 0.954
Sc: 0.285 0.070 0.250
Sc: 0.215 0.930 0.750
Sc: 0.715 0.930 0.750
Sc: 0.785 0.070 0.250
Th: 0.799 0.597 0.389
Th: 0.701 0.403 0.889
Th: 0.201 0.403 0.611
Th: 0.299 0.597 0.111

Output
Size of the total moment, μB per formula unit: 0.00
Calculated density, g/cm3: 8.27
V, A^3/atom: 22.21
Offset from the most stable computed form, kJ/mol of formula units: 0.0
ΔH_f (0 K), eV per atom: 0.05

***

8.
Density functional theory data (PBE) for crystalline TmThScMn at its relaxed geometry.

Cell lengths 5.188, 5.188, 5.188 Å; angles 60.00, 60.00, 60.00 degrees
Element x y z (fractional)
Sc: 0.000 0.000 0.000
Mn: 0.500 0.500 0.500
Tm: 0.750 0.750 0.750
Th: 0.250 0.250 0.250

Output
Size of the total moment, μB per formula unit: 2.26
Calculated density, g/cm3: 8.42
V, A^3/atom: 24.68
ΔH_f (0 K), eV per atom: 0.21

***

What is the size of the total moment in the eighth record?
2.26 μB per formula unit

***

Which formula does entry 2 have?
ScMnTl2Te4